A plane-wave DFT calculation with SCAN was carried out for a crystal of Na5Mg relaxed with PBEsol.

Calculated values
ΔH_f (0 K): 0.20 eV per atom

abc: 6.4653 6.4653 5.9578
angles: 90.00 90.00 120.00
Space group P6/mmm (No. 191)
Asymmetric unit:
Na 0.0000 0.5000 0.0000
Na 0.3333 0.6667 0.5000
Mg 0.0000 0.0000 0.5000

A plane-wave DFT calculation with SCAN was carried out for a crystal of IrRh2 relaxed with PBEsol.

Calculated values
ΔH_f (0 K): 0.04 eV per atom
Energy relative to the lowest polymorph listed for this composition: 69.2 meV/atom

abc: 9.890 2.698 6.376
angles: 90.00 104.81 90.00
Space group C2/m (No. 12)
Asymmetric unit:
Ir 0.028 0.000 0.305
Rh 0.137 0.500 0.028
Rh 0.193 0.500 0.639

A plane-wave DFT calculation with SCAN was carried out for a crystal of MnZnCu2 relaxed with PBEsol.

Calculated values
ΔH_f (0 K): -0.09 eV per atom

abc: 2.939 2.939 5.656
angles: 90.00 90.00 90.00
Space group P4mm (No. 99)
Asymmetric unit:
Mn 0.000 0.000 0.000
Zn 0.500 0.500 0.269
Cu 0.000 0.000 0.514
Cu 0.500 0.500 0.754